A geometry-optimized PrHf2ZrN4 structure, computed with PBE.

```
data_PrHf2ZrN4
_chemical_formula_sum 'Pr4 Hf8 Zr4 N16'
_cell_length_a 6.6153
_cell_length_b 6.7207
_cell_length_c 9.4416
_cell_angle_alpha 90.00
_cell_angle_beta 90.00
_cell_angle_gamma 90.00
_space_group_name_H-M_alt 'I m m a'
_space_group_IT_number 74
_space_group_name_Hall '-I 2b 2'
loop_
_atom_site_label
_atom_site_fract_x
_atom_site_fract_y
_atom_site_fract_z
Pr1 0.2500 0.2500 0.2500
Hf1 0.0000 0.0000 0.0000
Hf2 0.2500 0.2500 0.7500
Zr1 0.0000 0.0000 0.5000
N1 0.0000 0.0295 0.7551
N2 0.2406 0.2500 0.9855
```

Properties
Crystal system ... orthorhombic
Magnetic moment ... 0.0 μB per formula unit
Uncorrected formation energy ... -1588 meV/atom
Calculated density ... 10.21 g/cm³